First-principles (GGA-PBEsol) data for Rb3CaAg after structural relaxation, as listed in Alexandria via LeMat-Bulk.

Cell: 7.5963 7.5963 7.5963 Å, 90.00 90.00 90.00°
Positions (direct):
Ca 0.0000 0.0000 0.0000
Rb 0.0000 0.0000 0.5000
Rb 0.0000 0.5000 0.0000
Rb 0.5000 0.0000 0.0000
Ag 0.5000 0.5000 0.5000

Summary:
formation energy: 752 meV/atom